[1]
LiTbIr | GGA-PBE | optimized geometry

Formation enthalpy at 0 K: -0.4133 eV per atom
Excess energy over the best structure of this formula in the dataset: 97 meV/atom
Spin magnetization: 0.00 μB per formula unit
Crystal system: hexagonal
VASP energy: -16.6 eV per formula unit
DOS at the Fermi energy: 0.90 states/eV/f.u.

Cell: 4.3991 4.3991 3.3214 Å, 90.00 90.00 120.00°
Space group P-6m2 (No. 187)
Inequivalent atoms, fractional coordinates:
Li (0.0000, 0.0000, 0.0000) (multiplicity 1)
Tb (0.6667, 0.3333, 0.5000) (multiplicity 1)
Ir (0.3333, 0.6667, 0.0000) (multiplicity 1)

***

[2]
Pr2ReN3 | GGA-PBE | optimized geometry

Spin magnetization: 0.00 μB per formula unit
E_form (uncorrected): -554.7 kJ/mol of formula units
Crystal system: orthorhombic
VASP energy: -52.7 eV per formula unit
DOS at the Fermi energy: 2.41 states/eV/f.u.

Cell: 3.578 3.930 12.965 Å, 90.00 90.00 90.00°
Space group Immm (No. 71)
Inequivalent atoms, fractional coordinates:
Pr (0.000, 0.000, 0.149) (multiplicity 4)
Re (0.000, 0.000, 0.500) (multiplicity 2)
N (0.000, 0.000, 0.342) (multiplicity 4)
N (0.000, 0.500, 0.500) (multiplicity 2)